Entry 1:
Below is NaSc2MnSe4 after structural relaxation, with properties calculated at the PBE level.

Properties
E = -5.8750 eV/atom
Formation energy from raw total energies = -1.239 eV/atom
Density = 4.725 g/cm3
Total moment = 0.509 μB/atom

Cell: 6.8002 6.8002 6.8002 Å, 132.04 132.04 70.16°
Positions (direct):
Na1 0.0000 0.0000 0.0000
Sc1 0.5000 0.5000 0.0000
Sc2 0.7500 0.2500 0.5000
Mn1 0.2500 0.7500 0.5000
Se1 0.2578 0.2578 0.0000
Se2 0.5018 0.0018 0.5000
Se3 0.7422 0.7422 0.0000
Se4 0.9982 0.4982 0.5000

---

Entry 2:
Below is OsICl3 after structural relaxation, with properties calculated at the PBE level.

Properties
E = -3.2858 eV/atom
Formation energy from raw total energies = 0.378 eV/atom
Relative energy among the computed polymorphs = 2.912 eV per formula unit
Density = 6.155 g/cm3
Total moment = 0.292 μB/atom

Cell: 4.8525 4.8525 4.8525 Å, 90.00 90.00 90.00°
Positions (direct):
Os1 0.0000 0.0000 0.0000
I1 0.5000 0.5000 0.5000
Cl1 0.0000 0.0000 0.5000
Cl2 0.0000 0.5000 0.0000
Cl3 0.5000 0.0000 0.0000

---

Entry 3:
Below is Pu12Pd4Rh3 after structural relaxation, with properties calculated at the PBE level.

Properties
E = -11.2112 eV/atom
Density = 10.607 g/cm3
Total moment = 3.539 μB/atom

Cell: 9.0647 9.0647 9.0647 Å, 109.47 109.47 109.47°
Positions (direct):
Pu1 0.1343 0.7998 0.3345
Pu2 0.2002 0.3345 0.5347
Pu3 0.2002 0.6655 0.8657
Pu4 0.3345 0.1343 0.7998
Pu5 0.3345 0.5347 0.2002
Pu6 0.4653 0.7998 0.6655
Pu7 0.5347 0.2002 0.3345
Pu8 0.6655 0.4653 0.7998
Pu9 0.6655 0.8657 0.2002
Pu10 0.7998 0.3345 0.1343
Pu11 0.7998 0.6655 0.4653
Pu12 0.8657 0.2002 0.6655
Pd1 0.0000 0.0000 0.5000
Pd2 0.0000 0.5000 0.0000
Pd3 0.5000 0.0000 0.0000
Pd4 0.5000 0.5000 0.5000
Rh1 0.0000 0.5000 0.5000
Rh2 0.5000 0.0000 0.5000
Rh3 0.5000 0.5000 0.0000